# 1
Density functional theory data (PBE-GGA) for a geometry-optimized Np2Sn9Pb structure.

Cell lengths 4.6879, 4.6879, 14.4295 Å; angles 90.00, 90.00, 90.00 degrees
Last column: nearest neighbours and their distance in Å.
Sites, in units of the cell vectors:
Np 0.0000 0.0000 0.3443  12 Sn 3.25-3.39
Np 0.0000 0.0000 0.6557  12 Sn 3.25-3.39
Sn 0.5000 0.5000 0.0000  4 Pb 3.31, 8 Sn 3.45
Sn 0.5000 0.5000 0.3370  8 Sn 3.31-3.32, 4 Np 3.32
Sn 0.5000 0.5000 0.6630  8 Sn 3.31-3.32, 4 Np 3.32
Sn 0.5000 0.0000 0.1750  8 Sn 3.31-3.45, 2 Np 3.39, 2 Pb 3.45
Sn 0.5000 0.0000 0.5000  4 Np 3.25, 8 Sn 3.31-3.32
Sn 0.5000 0.0000 0.8250  8 Sn 3.31-3.45, 2 Np 3.39, 2 Pb 3.45
Sn 0.0000 0.5000 0.1750  8 Sn 3.31-3.45, 2 Np 3.39, 2 Pb 3.45
Sn 0.0000 0.5000 0.5000  4 Np 3.25, 8 Sn 3.31-3.32
Sn 0.0000 0.5000 0.8250  8 Sn 3.31-3.45, 2 Np 3.39, 2 Pb 3.45
Pb 0.0000 0.0000 0.0000  12 Sn 3.31-3.45

Results
SG: No. 123
Formation enthalpy at 0 K in eV per atom: -0.0371
Calculated total energy in eV per atom: -5.505

=====

# 2
Density functional theory data (PBE-GGA) for a geometry-optimized MgAg6Hg3 structure.

Cell lengths 2.9652, 10.2962, 10.2964 Å; angles 107.71, 106.01, 106.01 degrees
Last column: nearest neighbours and their distance in Å.
Sites, in units of the cell vectors:
Mg 0.1195 0.0005 0.0005  10 Ag 2.84-2.92, 2 Mg 2.97
Ag 0.3410 0.9883 0.7463  2 Mg 2.84-2.92, 5 Ag 2.85-2.97, 2 Hg 2.89-2.90
Ag 0.3418 0.7465 0.9888  2 Mg 2.84-2.92, 5 Ag 2.85-2.97, 2 Hg 2.89
Ag 0.8917 0.0119 0.2543  2 Mg 2.85-2.91, 5 Ag 2.85-2.97, 2 Hg 2.89
Ag 0.8912 0.2540 0.0114  2 Mg 2.85-2.91, 5 Ag 2.85-2.97, 2 Hg 2.89
Ag 0.5703 0.7306 0.7310  2 Hg 2.87-2.91, 6 Ag 2.88-2.97, 1 Mg 2.90
Ag 0.6618 0.2696 0.2693  2 Hg 2.87-2.90, 6 Ag 2.89-2.97, 1 Mg 2.89
Hg 0.6140 0.4996 0.9987  4 Ag 2.89, 2 Hg 2.97
Hg 0.6140 0.9988 0.4997  4 Ag 2.89-2.90, 2 Hg 2.97
Hg 0.6157 0.5002 0.5000  4 Ag 2.87-2.91, 2 Hg 2.97

Results
SG: No. 8
Formation enthalpy at 0 K in eV per atom: 0.0942
Calculated total energy in eV per atom: -1.867

=====

# 3
Density functional theory data (PBE-GGA) for a geometry-optimized La5CdHg3 structure.

Cell lengths 6.9312, 9.6652, 9.6639 Å; angles 120.00, 90.00, 90.00 degrees
Last column: nearest neighbours and their distance in Å.
Sites, in units of the cell vectors:
La 0.0000 0.6666 0.3332  8 La 3.47-3.83, 6 Hg 3.53
La 0.5000 0.3334 0.6668  8 La 3.47-3.83, 6 Hg 3.53
La 0.0000 0.3334 0.6668  8 La 3.47-3.83, 6 Hg 3.53
La 0.5000 0.6666 0.3332  8 La 3.47-3.83, 6 Hg 3.53
La 0.7500 0.7030 0.7030  5 Hg 3.25-3.53, 2 Cd 3.35
La 0.7500 0.0000 0.2970  5 Hg 3.25-3.53, 2 Cd 3.35
La 0.7500 0.2970 0.0000  5 Hg 3.25-3.53, 2 Cd 3.35
La 0.2500 0.2970 0.2970  5 Hg 3.25-3.53, 2 Cd 3.35
La 0.2500 0.0000 0.7030  5 Hg 3.25-3.53, 2 Cd 3.35
La 0.2500 0.7030 0.0000  5 Hg 3.25-3.53, 2 Cd 3.35
Cd 0.0000 0.0000 0.0000  6 La 3.35, 2 Cd 3.47
Cd 0.5000 0.0000 0.0000  6 La 3.35, 2 Cd 3.47
Hg 0.7500 0.3671 0.3671  9 La 3.25-3.53
Hg 0.7500 0.0000 0.6329  9 La 3.25-3.53
Hg 0.7500 0.6330 0.0000  9 La 3.25-3.53
Hg 0.2500 0.6329 0.6329  9 La 3.25-3.53
Hg 0.2500 0.0000 0.3671  9 La 3.25-3.53
Hg 0.2500 0.3670 0.0000  9 La 3.25-3.53

Results
SG: No. 193
Formation enthalpy at 0 K in eV per atom: -0.3488
Calculated total energy in eV per atom: -3.289